Material: ReAgBr2
Method: DFT, PBE
State: optimized geometry

```
data_ReAgBr2
_cell_length_a 3.114
_cell_length_b 3.114
_cell_length_c 8.655
_cell_angle_alpha 90.00
_cell_angle_beta 90.00
_cell_angle_gamma 90.00
_space_group_name_H-M_alt 'P 4 m m'
_space_group_IT_number 99
loop_
_space_group_symop_operation_xyz
'x,y,z'
'-y,x,z'
'-x,-y,z'
'y,-x,z'
'-x,y,z'
'y,x,z'
'x,-y,z'
'-y,-x,z'
loop_
_atom_site_label
_atom_site_fract_x
_atom_site_fract_y
_atom_site_fract_z
Re1 0.000 0.000 0.000
Ag1 0.500 0.500 0.228
Br1 0.000 0.000 0.464
Br2 0.500 0.500 0.839
```

excess energy over the best structure of this formula in the dataset	0.93	eV per formula unit
calculated volume	20.98	Å³ per atom
uncorrected formation energy	64.8	kJ/mol of atoms
uncorrected energy	-3.99	eV per atom
magnetization	0.0	μB/f.u.

Material: FeHg3H
Method: DFT, PBE
State: optimized geometry

```
data_FeHg3H
_cell_length_a 4.435
_cell_length_b 4.435
_cell_length_c 4.435
_cell_angle_alpha 90.00
_cell_angle_beta 90.00
_cell_angle_gamma 90.00
_space_group_name_H-M_alt 'P m -3 m'
_space_group_IT_number 221
_space_group_name_Hall '-P 4 2 3'
loop_
_atom_site_label
_atom_site_fract_x
_atom_site_fract_y
_atom_site_fract_z
Fe1 0.000 0.000 0.000
Hg1 0.000 0.500 0.500
H1 0.500 0.500 0.500
```

excess energy over the best structure of this formula in the dataset	0.00	eV per formula unit
calculated volume	17.44	Å³ per atom
uncorrected energy	-1.80	eV per atom
magnetization	2.7	μB/f.u.

Material: Pm2PPbO8
Method: DFT, PBE
State: optimized geometry

```
data_Pm2PPbO8
_cell_length_a 5.0939
_cell_length_b 5.0939
_cell_length_c 7.1867
_cell_angle_alpha 90.00
_cell_angle_beta 90.00
_cell_angle_gamma 120.00
_space_group_name_H-M_alt 'P -3 m 1'
_space_group_IT_number 164
_space_group_name_Hall '-P 3 2"'
loop_
_atom_site_label
_atom_site_fract_x
_atom_site_fract_y
_atom_site_fract_z
Pm1 0.3333 0.6667 0.3529
P1 0.0000 0.0000 0.5000
Pb1 0.0000 0.0000 0.0000
O1 0.1562 0.3124 0.6373
O2 0.3333 0.6667 0.0329
```

calculated volume	13.46	Å³ per atom
uncorrected formation energy	-182.6	kJ/mol of atoms
uncorrected energy	-6.75	eV per atom
magnetization	3.0	μB/f.u.

Material: LaTmCd2Hg4
Method: DFT, PBE
State: optimized geometry

```
data_LaTmCd2Hg4
_cell_length_a 5.1479
_cell_length_b 5.1479
_cell_length_c 25.4802
_cell_angle_alpha 90.00
_cell_angle_beta 90.00
_cell_angle_gamma 120.00
_space_group_name_H-M_alt 'R -3 m'
_space_group_IT_number 166
_space_group_name_Hall '-R 3 2"'
loop_
_atom_site_label
_atom_site_fract_x
_atom_site_fract_y
_atom_site_fract_z
La1 0.0000 0.0000 0.0000
Tm1 0.0000 0.0000 0.5000
Cd1 0.0000 0.0000 0.2506
Hg1 0.0000 0.0000 0.1294
Hg2 0.0000 0.0000 0.3804
```

ΔH_f (0 K)	-9.0	kcal/mol of atoms
calculated volume	24.37	Å³ per atom
uncorrected energy	-1.95	eV per atom
magnetization	0.0	μB/f.u.